Na2TcC, relaxed, DFT PBE; mass density = 2.6 g cm⁻³; calculated total energy = -4.613 eV per atom; D(E_F) = 7.473 states/eV/cell
1.0
-5.062 5.062 1.927
5.062 -5.062 1.927
5.062 5.062 -1.927
Na Tc C
4 2 2
Direct
0.375 0.195 0.320 Na
0.805 0.125 0.180 Na
0.875 0.055 0.680 Na
0.945 0.625 0.820 Na
0.250 0.750 0.500 Tc
0.500 0.500 0.000 Tc
0.000 0.000 0.000 C
0.750 0.250 0.500 C

***

FeCuRh, relaxed, DFT PBE; mass density = 9.4 g cm⁻³; D(E_F) = 2.623 states/eV/cell; ΔE to the lowest computed polymorph = 84.9 meV per atom
1.0
4.164 0.000 0.000
-2.082 3.606 0.000
0.000 0.000 2.620
Fe Cu Rh
1 1 1
Direct
0.000 0.000 0.000 Fe
0.333 0.667 0.732 Cu
0.667 0.333 0.311 Rh

***

Tl2Ga2Hg3, relaxed, DFT PBE; mass density = 10.1 g cm⁻³; calculated total energy = -1.639 eV per atom; D(E_F) = 1.743 states/eV/cell
1.0
2.075 -9.921 0.000
2.075 9.921 0.000
0.000 0.000 4.577
Tl Ga Hg
2 2 3
Direct
0.167 0.833 0.000 Tl
0.833 0.167 0.000 Tl
0.290 0.710 0.500 Ga
0.710 0.290 0.500 Ga
0.000 0.000 0.000 Hg
0.428 0.572 0.500 Hg
0.572 0.428 0.500 Hg

***

Ba2H2S2N, relaxed, DFT PBE; mass density = 4.1 g cm⁻³; calculated total energy = -4.780 eV per atom; D(E_F) = 1.065 states/eV/cell
1.0
4.718 -4.007 0.000
4.718 4.007 0.000
-1.956 0.000 3.833
Ba H S N
2 2 2 1
Direct
0.248 0.752 0.000 Ba
0.752 0.248 0.000 Ba
0.120 0.120 0.619 H
0.880 0.880 0.381 H
0.325 0.325 0.326 S
0.675 0.675 0.674 S
0.000 0.000 0.500 N

***

PmScI, relaxed, DFT PBE; mass density = 6.0 g cm⁻³; E_form (uncorrected) = -0.491 eV per formula unit; D(E_F) = 4.090 states/eV/cell
1.0
5.183 0.000 0.000
-2.591 4.488 0.000
0.000 0.000 3.763
Pm Sc I
1 1 1
Direct
0.000 0.000 0.000 Pm
0.333 0.667 0.499 Sc
0.667 0.333 0.493 I

***

CsNa4Sb2, relaxed, DFT PBE; mass density = 3.0 g cm⁻³; E_form (uncorrected) = -2.073 eV per formula unit; D(E_F) = 3.177 states/eV/cell
1.0
2.855 -7.965 0.000
2.855 7.965 0.000
0.000 0.000 5.726
Cs Na Sb
1 4 2
Direct
0.000 0.000 0.000 Cs
0.182 0.818 0.500 Na
0.331 0.669 0.000 Na
0.669 0.331 0.000 Na
0.818 0.182 0.500 Na
0.404 0.596 0.500 Sb
0.596 0.404 0.500 Sb

***

UAgP2, relaxed, DFT PBE; mass density = 9.6 g cm⁻³; calculated total energy = -6.674 eV per atom; D(E_F) = 3.666 states/eV/cell
1.0
4.458 0.000 0.000
0.000 4.458 0.000
0.000 0.000 3.540
U Ag P
1 1 2
Direct
0.000 0.000 0.000 U
0.500 0.500 0.000 Ag
0.000 0.500 0.500 P
0.500 0.000 0.500 P

***

MgP2SO, relaxed, DFT PBE; mass density = 2.4 g cm⁻³; E_form (uncorrected) = 0.365 eV per formula unit; D(E_F) = 2.257 states/eV/cell; ΔE to the lowest computed polymorph = 0.0 meV per atom
1.0
3.753 0.000 0.000
0.000 3.753 0.000
0.000 0.000 6.696
Mg P S O
1 2 1 1
Direct
0.000 0.000 0.000 Mg
0.000 0.500 0.500 P
0.500 0.000 0.500 P
0.500 0.500 0.000 S
0.500 0.500 0.500 O

***

ZrCdOs3, relaxed, DFT PBE; mass density = 12.0 g cm⁻³; D(E_F) = 5.812 states/eV/cell; ΔE to the lowest computed polymorph = 110.5 meV per atom
1.0
4.747 0.000 0.000
0.000 4.747 0.000
0.000 0.000 4.747
Zr Cd Os
1 1 3
Direct
0.000 0.000 0.000 Zr
0.500 0.500 0.500 Cd
0.000 0.500 0.500 Os
0.500 0.000 0.500 Os
0.500 0.500 0.000 Os

***

Li2HoAlGe2, relaxed, DFT PBE; mass density = 5.0 g cm⁻³; calculated total energy = -4.086 eV per atom; D(E_F) = 1.376 states/eV/cell
1.0
4.153 0.000 0.000
0.000 7.948 0.000
0.000 0.000 7.043
Li Ho Al Ge
4 2 2 4
Direct
0.000 0.078 0.000 Li
0.000 0.922 0.500 Li
0.500 0.171 0.326 Li
0.500 0.829 0.826 Li
0.500 0.432 0.950 Ho
0.500 0.568 0.450 Ho
0.000 0.306 0.614 Al
0.000 0.694 0.114 Al
0.000 0.372 0.239 Ge
0.000 0.628 0.739 Ge
0.500 0.142 0.705 Ge
0.500 0.858 0.205 Ge

***

MgCdAu2, relaxed, DFT PBE; mass density = 11.7 g cm⁻³; calculated total energy = -2.666 eV per atom; D(E_F) = 1.070 states/eV/cell
1.0
0.000 3.351 3.351
3.351 0.000 3.351
3.351 3.351 0.000
Mg Cd Au
1 1 2
Direct
0.000 0.000 0.000 Mg
0.500 0.500 0.500 Cd
0.250 0.250 0.250 Au
0.750 0.750 0.750 Au

***

ZnPd2Cl, relaxed, DFT PBE; mass density = 8.2 g cm⁻³; E_form (uncorrected) = 0.000 eV per formula unit; D(E_F) = 2.562 states/eV/cell; ΔE to the lowest computed polymorph = 0.0 meV per atom
1.0
0.000 3.172 3.172
3.172 0.000 3.172
3.172 3.172 0.000
Zn Pd Cl
1 2 1
Direct
0.000 0.000 0.000 Zn
0.250 0.250 0.250 Pd
0.750 0.750 0.750 Pd
0.500 0.500 0.500 Cl

***

LiCoNi, relaxed, DFT PBE; mass density = 5.9 g cm⁻³; D(E_F) = 2.726 states/eV/cell; ΔE to the lowest computed polymorph = 80.7 meV per atom
1.0
-1.245 1.245 5.662
1.245 -1.245 5.662
1.245 1.245 -5.662
Li Co Ni
1 1 1
Direct
0.000 0.000 0.000 Li
0.680 0.680 0.000 Co
0.328 0.328 0.000 Ni

***

Mg2AlCr, relaxed, DFT PBE; mass density = 3.0 g cm⁻³; calculated total energy = -3.927 eV per atom; D(E_F) = 2.329 states/eV/cell
1.0
5.255 -1.631 0.000
5.255 1.631 0.000
-1.901 0.000 4.067
Mg Al Cr
2 1 1
Direct
0.240 0.240 0.240 Mg
0.760 0.760 0.760 Mg
0.000 0.000 0.500 Al
0.500 0.500 0.000 Cr

***

Ca2DyMgS4, relaxed, DFT PBE; mass density = 3.8 g cm⁻³; E_form (uncorrected) = -15.049 eV per formula unit; D(E_F) = 2.446 states/eV/cell
1.0
6.808 0.000 0.000
0.000 3.904 0.000
-2.283 0.000 6.422
Ca Dy Mg S
2 1 1 4
Direct
0.000 0.000 0.000 Ca
0.500 0.500 0.000 Ca
0.000 0.500 0.500 Dy
0.500 0.000 0.500 Mg
0.253 0.000 0.740 S
0.264 0.500 0.269 S
0.736 0.500 0.731 S
0.747 0.000 0.260 S

***

Er2UPaAs4, relaxed, DFT PBE; mass density = 9.5 g cm⁻³; calculated total energy = -7.258 eV per atom; D(E_F) = 10.051 states/eV/cell
1.0
7.051 0.000 0.000
0.000 4.076 0.000
-2.357 0.000 6.724
Er U Pa As
2 1 1 4
Direct
0.000 0.000 0.000 Er
0.500 0.500 0.000 Er
0.000 0.500 0.500 U
0.500 0.000 0.500 Pa
0.249 0.500 0.248 As
0.251 0.000 0.752 As
0.749 0.000 0.248 As
0.751 0.500 0.752 As

***

KTa2Sb, relaxed, DFT PBE; mass density = 9.0 g cm⁻³; E_form (uncorrected) = 3.944 eV per formula unit; D(E_F) = 4.591 states/eV/cell
1.0
3.009 0.000 0.000
0.000 3.009 0.000
0.000 0.000 10.637
K Ta Sb
1 2 1
Direct
0.000 0.000 0.000 K
0.500 0.500 0.299 Ta
0.500 0.500 0.701 Ta
0.000 0.000 0.500 Sb

***

Na2Cd5Ag4, relaxed, DFT PBE; mass density = 7.0 g cm⁻³; calculated total energy = -1.748 eV per atom; D(E_F) = 3.745 states/eV/cell
1.0
6.561 -2.871 0.000
6.561 2.871 0.000
-5.953 0.000 6.548
Na Cd Ag
2 5 4
Direct
0.205 0.205 0.206 Na
0.795 0.795 0.794 Na
0.251 0.749 0.320 Cd
0.251 0.749 0.680 Cd
0.500 0.500 0.000 Cd
0.749 0.251 0.320 Cd
0.749 0.251 0.680 Cd
0.257 0.257 0.587 Ag
0.257 0.257 0.927 Ag
0.743 0.743 0.073 Ag
0.743 0.743 0.413 Ag

***

RbMgOs2O8, relaxed, DFT PBE; mass density = 4.5 g cm⁻³; E_form (uncorrected) = -16.119 eV per formula unit; D(E_F) = 7.780 states/eV/cell
1.0
5.798 0.000 0.000
-2.899 5.021 0.000
0.000 0.000 7.825
Rb Mg Os O
1 1 2 8
Direct
0.000 0.000 0.000 Rb
0.000 0.000 0.500 Mg
0.333 0.667 0.733 Os
0.667 0.333 0.267 Os
0.158 0.328 0.662 O
0.170 0.842 0.662 O
0.328 0.170 0.338 O
0.333 0.667 0.959 O
0.667 0.333 0.041 O
0.672 0.830 0.662 O
0.830 0.158 0.338 O
0.842 0.672 0.338 O

***

AcPu2Pd, relaxed, DFT PBE; mass density = 12.5 g cm⁻³; D(E_F) = 13.082 states/eV/cell; ΔE to the lowest computed polymorph = 0.0 meV per atom
1.0
4.323 0.000 0.000
0.000 4.323 0.000
0.000 0.000 5.816
Ac Pu Pd
1 2 1
Direct
0.000 0.000 0.000 Ac
0.000 0.500 0.500 Pu
0.500 0.000 0.500 Pu
0.500 0.500 0.000 Pd

***

NaIn2Pb2, relaxed, DFT PBE; mass density = 7.2 g cm⁻³; D(E_F) = 5.570 states/eV/cell; ΔE to the lowest computed polymorph = 59.4 meV per atom
1.0
9.071 0.000 0.000
0.000 9.071 0.000
0.000 0.000 3.721
Na In Pb
2 4 4
Direct
0.000 0.000 0.000 Na
0.500 0.500 0.000 Na
0.131 0.369 0.000 In
0.369 0.869 0.000 In
0.631 0.131 0.000 In
0.869 0.631 0.000 In
0.164 0.664 0.500 Pb
0.336 0.164 0.500 Pb
0.664 0.836 0.500 Pb
0.836 0.336 0.500 Pb

***

TlRuRh2, relaxed, DFT PBE; mass density = 13.1 g cm⁻³; D(E_F) = 4.063 states/eV/cell; ΔE to the lowest computed polymorph = 148.3 meV per atom
1.0
1.447 0.835 8.967
-1.447 0.835 8.967
0.000 -1.671 8.967
Tl Ru Rh
1 1 2
Direct
0.000 0.000 0.000 Tl
0.500 0.500 0.500 Ru
0.244 0.244 0.244 Rh
0.756 0.756 0.756 Rh

***

Ce2Co2H5, relaxed, DFT PBE; mass density = 7.6 g cm⁻³; calculated total energy = -5.067 eV per atom; D(E_F) = 2.018 states/eV/cell
1.0
5.532 -1.803 0.000
5.532 1.803 0.000
-0.955 0.000 4.424
Ce Co H
2 2 5
Direct
0.099 0.099 0.336 Ce
0.901 0.901 0.664 Ce
0.343 0.343 0.097 Co
0.657 0.657 0.903 Co
0.184 0.184 0.903 H
0.306 0.306 0.430 H
0.500 0.500 0.000 H
0.694 0.694 0.570 H
0.816 0.816 0.097 H

***

Pa3Sb3Pd2, relaxed, DFT PBE; mass density = 11.1 g cm⁻³; E_form (uncorrected) = -4.211 eV per formula unit; D(E_F) = 23.896 states/eV/cell
1.0
2.143 -5.710 0.000
2.143 5.710 0.000
0.000 0.000 15.506
Pa Sb Pd
6 6 4
Direct
0.060 0.940 0.606 Pa
0.060 0.940 0.894 Pa
0.329 0.671 0.750 Pa
0.671 0.329 0.250 Pa
0.940 0.060 0.106 Pa
0.940 0.060 0.394 Pa
0.369 0.631 0.544 Sb
0.369 0.631 0.956 Sb
0.399 0.601 0.250 Sb
0.601 0.399 0.750 Sb
0.631 0.369 0.044 Sb
0.631 0.369 0.456 Sb
0.239 0.761 0.117 Pd
0.239 0.761 0.383 Pd
0.761 0.239 0.617 Pd
0.761 0.239 0.883 Pd

***

TlAuSe2, relaxed, DFT PBE; mass density = 9.8 g cm⁻³; E_form (uncorrected) = -0.209 eV per formula unit; D(E_F) = 0.832 states/eV/cell
1.0
4.112 0.000 0.000
0.000 4.112 0.000
0.000 0.000 5.622
Tl Au Se
1 1 2
Direct
0.000 0.000 0.000 Tl
0.500 0.500 0.500 Au
0.000 0.000 0.500 Se
0.500 0.500 0.000 Se

***

La2PrNd7Tl2, relaxed, DFT PBE; mass density = 7.4 g cm⁻³; calculated total energy = -4.427 eV per atom; D(E_F) = 22.470 states/eV/cell
1.0
3.527 -5.156 0.000
3.527 5.156 0.000
0.000 0.000 11.410
La Pr Nd Tl
2 1 7 2
Direct
0.000 0.000 0.149 La
0.000 0.000 0.851 La
0.500 0.500 0.500 Pr
0.000 0.000 0.500 Nd
0.000 0.500 0.330 Nd
0.000 0.500 0.670 Nd
0.311 0.689 0.000 Nd
0.500 0.000 0.330 Nd
0.500 0.000 0.670 Nd
0.689 0.311 0.000 Nd
0.500 0.500 0.222 Tl
0.500 0.500 0.778 Tl